Entry 1:
Material: ZrTa3Mn
Method: DFT, PBE
State: relaxed Values from VASP.

Properties
spin magnetization = 0.0 μB per cell
offset from the most stable computed form = 1837.4 meV per atom
formation enthalpy at 0 K = 2.43 eV/atom
symmetry = Pm-3m, No. 221

The structure in Quantum ESPRESSO input format:
```
&SYSTEM
  ibrav = 0, nat = 5, ntyp = 3
/
ATOMIC_SPECIES
Mn 54.94 Mn.upf
Ta 180.95 Ta.upf
Zr 91.22 Zr.upf
CELL_PARAMETERS angstrom
-3.887 -2.785 -0.704
2.738 -3.950 0.505
-0.867 0.007 4.755
ATOMIC_POSITIONS crystal
Mn 0.500 0.500 0.500
Ta 0.500 0.000 0.000
Ta 0.000 0.000 0.500
Ta 0.000 0.500 0.000
Zr 0.000 0.000 0.000
```

=====

Entry 2:
Material: La2Pm3PuS6
Method: DFT, PBE
State: relaxed Values from VASP.

Properties
spin magnetization = 5.8 μB per cell
energy relative to the elements, uncorrected = -2043 meV/atom
symmetry = C2/m, No. 12

The structure in Quantum ESPRESSO input format:
```
&SYSTEM
  ibrav = 0, nat = 12, ntyp = 4
/
ATOMIC_SPECIES
S 32.06 S.upf
Pm 145.00 Pm.upf
La 138.91 La.upf
Pu 244.00 Pu.upf
CELL_PARAMETERS angstrom
-0.405 -3.698 1.601
7.266 -2.113 -3.041
2.203 5.092 7.198
ATOMIC_POSITIONS crystal
S 0.335 0.411 0.669
S 0.997 0.244 0.995
S 0.003 0.756 0.005
S 0.335 0.922 0.670
S 0.665 0.589 0.331
S 0.665 0.078 0.330
Pm 0.500 0.500 0.000
Pm 0.833 0.164 0.666
Pm 0.167 0.836 0.334
La 0.165 0.331 0.330
La 0.835 0.669 0.670
Pu 0.500 0.000 0.000
```

=====

Entry 3:
Material: MnW2Cl
Method: DFT, PBE
State: relaxed Values from VASP.

Properties
spin magnetization = 4.3 μB per cell
offset from the most stable computed form = 812.9 meV per atom
energy relative to the elements, uncorrected = 1122 meV/atom
symmetry = F-43m, No. 216

The structure in Quantum ESPRESSO input format:
```
&SYSTEM
  ibrav = 0, nat = 4, ntyp = 3
/
ATOMIC_SPECIES
Cl 35.45 Cl.upf
W 183.84 W.upf
Mn 54.94 Mn.upf
CELL_PARAMETERS angstrom
4.509 0.000 0.000
2.255 3.905 0.000
2.255 1.302 3.682
ATOMIC_POSITIONS crystal
Cl 0.500 0.500 0.500
W 0.250 0.250 0.250
W 0.000 0.000 0.000
Mn 0.750 0.750 0.750
```

=====

What is the spin magnetization in the third record?
4.3 μB per cell